{
  "formula": "V3Pb4O12",
  "functional": "PBE with a Hubbard U",
  "state": "optimized geometry",
  "lattice": [[-5.506, 5.506, 5.506], [5.506, -5.506, 5.506], [5.506, 5.506, -5.506]],
  "species": ["V", "V", "V", "V", "V", "V", "Pb", "Pb", "Pb", "Pb", "Pb", "Pb", "Pb", "Pb", "O", "O", "O", "O", "O", "O", "O", "O", "O", "O", "O", "O", "O", "O", "O", "O", "O", "O", "O", "O", "O", "O", "O", "O"],
  "fractional_positions": [[0.125, 0.875, 0.250], [0.250, 0.125, 0.875], [0.375, 0.625, 0.750], [0.625, 0.750, 0.375], [0.750, 0.375, 0.625], [0.875, 0.250, 0.125], [0.000, 0.165, 0.500], [0.000, 0.665, 0.500], [0.165, 0.500, 0.000], [0.335, 0.335, 0.335], [0.500, 0.000, 0.165], [0.500, 0.000, 0.665], [0.665, 0.500, 0.000], [0.835, 0.835, 0.835], [0.075, 0.917, 0.733], [0.083, 0.316, 0.158], [0.158, 0.083, 0.316], [0.158, 0.842, 0.425], [0.184, 0.267, 0.842], [0.233, 0.417, 0.575], [0.267, 0.842, 0.184], [0.316, 0.158, 0.083], [0.342, 0.658, 0.925], [0.342, 0.767, 0.684], [0.417, 0.575, 0.233], [0.425, 0.158, 0.842], [0.575, 0.233, 0.417], [0.583, 0.658, 0.816], [0.658, 0.816, 0.583], [0.658, 0.925, 0.342], [0.684, 0.342, 0.767], [0.733, 0.075, 0.917], [0.767, 0.684, 0.342], [0.816, 0.583, 0.658], [0.842, 0.184, 0.267], [0.842, 0.425, 0.158], [0.917, 0.733, 0.075], [0.925, 0.342, 0.658]],
  "space_group": "I-43d",
  "total_magnetization_mub_per_cell": 0.00,
  "e_tot_ev_per_cell": -254.3
}